The following is a DFT calculation (PBE) of a geometry-optimized Sm4GaS2Cl structure.

Lattice parameters (Å, degrees): 7.1613 3.9809 7.1813 90.00 108.21 90.00
Closest atoms and distances in Å follow each position.
Sites, in units of the cell vectors:
Sm 0.2290 0.0000 0.2300  3 S 2.77-2.90, 1 Ga 2.92, 2 Cl 3.02
Sm 0.2351 0.5000 0.7502  3 S 2.82-2.85, 2 Ga 2.94, 1 Cl 2.99
Sm 0.7649 0.5000 0.2498  3 S 2.82-2.85, 2 Ga 2.94, 1 Cl 2.99
Sm 0.7710 0.0000 0.7700  3 S 2.77-2.90, 1 Ga 2.92, 2 Cl 3.02
Ga 0.5000 0.0000 0.0000  6 Sm 2.92-2.94
S 0.0000 0.0000 0.5000  6 Sm 2.85-2.90
S 0.0000 0.5000 0.0000  6 Sm 2.77-2.82
Cl 0.5000 0.5000 0.5000  6 Sm 2.99-3.02

Properties
The magnetic moment comes out at 0.00 μB/cell. Its crystal system is monoclinic. Its formation energy from raw total energies is -1.520 eV/atom.



The following is a DFT calculation (PBE) of a geometry-optimized InTcHg2 structure.

Lattice parameters (Å, degrees): 10.0788 10.0788 10.0788 17.85 17.85 17.85
Closest atoms and distances in Å follow each position.
Sites, in units of the cell vectors:
In 0.0000 0.0000 0.0000  3 Tc 2.82, 6 In 3.13
Tc 0.7396 0.7396 0.7396  3 In 2.82, 3 Hg 2.90, 6 Tc 3.13
Hg 0.2414 0.2414 0.2414  9 Hg 3.13-3.29, 3 In 3.28
Hg 0.4824 0.4824 0.4824  3 Tc 2.90, 6 Hg 3.13

Properties
The magnetic moment comes out at 1.04 μB/cell. Its crystal system is trigonal. As for the formation enthalpy at 0 K: 431 meV/atom.



The following is a DFT calculation (PBE) of a geometry-optimized TaTc2Te structure.

Lattice parameters (Å, degrees): 2.9694 2.9694 8.9613 90.00 90.00 114.14
Closest atoms and distances in Å follow each position.
Sites, in units of the cell vectors:
Ta 0.0000 0.0000 0.0000  4 Tc 2.61
Tc 0.5000 0.5000 0.2295  2 Ta 2.61, 2 Te 2.91
Tc 0.5000 0.5000 0.7705  2 Ta 2.61, 2 Te 2.91
Te 0.0000 0.0000 0.5000  4 Tc 2.91, 6 Te 2.97-3.23

Properties
The magnetic moment comes out at 0.00 μB/cell. Its crystal system is orthorhombic. Its formation energy from raw total energies is 0.380 eV/atom.



Which of these has the highest magnetic moment?
InTcHg2



Look up the magnetic moment of the third one.
0.00 μB/cell